# 1
Compound: KYMgTe3
Source: the Alexandria database
Functional: PBE-GGA
Structure: relaxed

- DOS at the Fermi energy (states/eV/atom) = 0.000
- formation energy (no corrections) (eV/atom) = -1.211
- spin magnetization (Bohr magnetons per cell) = 0.0

Cell lengths 9.648, 4.513, 10.715 Å; angles 90.00, 107.72, 90.00 degrees
Element x y z (fractional)
1 K 0.207 0.250 0.232
2 K 0.793 0.750 0.768
3 Y 0.331 0.750 0.865
4 Y 0.669 0.250 0.135
5 Mg 0.085 0.250 0.608
6 Mg 0.915 0.750 0.392
7 Te 0.108 0.250 0.870
8 Te 0.220 0.750 0.539
9 Te 0.461 0.750 0.162
10 Te 0.539 0.250 0.838
11 Te 0.780 0.250 0.461
12 Te 0.892 0.750 0.130

# 2
Compound: PaBiC
Source: the Alexandria database
Functional: PBE-GGA
Structure: relaxed

- DOS at the Fermi energy (states/eV/atom) = 0.680
- spin magnetization (Bohr magnetons per cell) = 0.0
- DFT formation energy (eV per atom) = 0.0969

Cell lengths 6.711, 6.711, 6.711 Å; angles 151.83, 151.83, 40.26 degrees
Element x y z (fractional)
1 Pa 0.000 0.000 0.000
2 Bi 0.273 0.273 0.000
3 C 0.547 0.547 0.000

# 3
Compound: Ca3PbAu8
Source: the Alexandria database
Functional: PBE-GGA
Structure: relaxed

- DOS at the Fermi energy (states/eV/atom) = 0.394
- spin magnetization (Bohr magnetons per cell) = 0.0
- DFT formation energy (eV per atom) = -0.5182

Cell lengths 10.024, 10.024, 10.024 Å; angles 32.77, 32.77, 32.77 degrees
Element x y z (fractional)
1 Ca 0.000 0.000 0.000
2 Ca 0.129 0.129 0.129
3 Ca 0.514 0.514 0.514
4 Pb 0.635 0.635 0.635
5 Au 0.068 0.068 0.563
6 Au 0.068 0.563 0.068
7 Au 0.074 0.569 0.569
8 Au 0.319 0.319 0.319
9 Au 0.563 0.068 0.068
10 Au 0.569 0.074 0.569
11 Au 0.569 0.569 0.074
12 Au 0.818 0.818 0.818

# 4
Compound: CsUCdBr6
Source: the Alexandria database
Functional: PBE-GGA
Structure: relaxed

- DOS at the Fermi energy (states/eV/atom) = 0.859
- formation energy (no corrections) (eV/atom) = -1.272
- spin magnetization (Bohr magnetons per cell) = 3.0

Cell lengths 7.557, 7.557, 7.917 Å; angles 90.00, 90.00, 120.00 degrees
Element x y z (fractional)
1 Cs 0.000 0.000 0.000
2 U 0.333 0.667 0.500
3 Cd 0.667 0.333 0.500
4 Br 0.385 0.005 0.709
5 Br 0.385 0.380 0.291
6 Br 0.620 0.005 0.291
7 Br 0.620 0.615 0.709
8 Br 0.995 0.380 0.709
9 Br 0.995 0.615 0.291

# 5
Compound: Zn5Cd2Pd4
Source: the Alexandria database
Functional: PBE-GGA
Structure: relaxed

- DOS at the Fermi energy (states/eV/atom) = 0.326
- spin magnetization (Bohr magnetons per cell) = 0.0
- DFT formation energy (eV per atom) = -0.2960

Cell lengths 9.571, 8.931, 5.055 Å; angles 81.27, 67.26, 31.47 degrees
Element x y z (fractional)
1 Zn 0.000 0.000 0.000
2 Zn 0.000 0.000 0.500
3 Zn 0.250 0.250 0.250
4 Zn 0.500 0.500 0.000
5 Zn 0.750 0.750 0.750
6 Cd 0.364 0.364 0.636
7 Cd 0.636 0.636 0.364
8 Pd 0.043 0.706 0.294
9 Pd 0.294 0.957 0.043
10 Pd 0.706 0.043 0.957
11 Pd 0.957 0.294 0.706

# 6
Compound: Ag2TeP
Source: the Alexandria database
Functional: PBE-GGA
Structure: relaxed

- DOS at the Fermi energy (states/eV/atom) = 0.447
- formation energy (no corrections) (eV/atom) = 0.391
- spin magnetization (Bohr magnetons per cell) = 0.0

Cell lengths 4.354, 4.354, 4.334 Å; angles 90.00, 90.00, 90.00 degrees
Element x y z (fractional)
1 Ag 0.000 0.500 0.000
2 Ag 0.500 0.000 0.000
3 Te 0.000 0.000 0.500
4 P 0.500 0.500 0.500

# 7
Compound: SrTbCl6
Source: the Alexandria database
Functional: PBE-GGA
Structure: relaxed

- DOS at the Fermi energy (states/eV/atom) = 0.810
- formation energy (no corrections) (eV/atom) = -1.910
- spin magnetization (Bohr magnetons per cell) = 1.1

Cell lengths 7.184, 7.184, 7.105 Å; angles 118.26, 118.26, 67.24 degrees
Element x y z (fractional)
1 Sr 0.000 0.000 0.000
2 Tb 0.500 0.500 0.500
3 Cl 0.171 0.649 0.649
4 Cl 0.269 0.269 0.092
5 Cl 0.351 0.829 0.351
6 Cl 0.649 0.171 0.649
7 Cl 0.731 0.731 0.908
8 Cl 0.829 0.351 0.351

# 8
Compound: NpGe2Mo
Source: the Alexandria database
Functional: PBE-GGA
Structure: relaxed

- DOS at the Fermi energy (states/eV/atom) = 1.713
- spin magnetization (Bohr magnetons per cell) = 4.1
- DFT formation energy (eV per atom) = -0.0409

Cell lengths 3.309, 3.309, 6.646 Å; angles 90.00, 90.00, 90.00 degrees
Element x y z (fractional)
1 Np 0.000 0.000 0.000
2 Ge 0.500 0.500 0.295
3 Ge 0.500 0.500 0.705
4 Mo 0.000 0.000 0.500

# 9
Compound: Pr3DySc3Se8
Source: the Alexandria database
Functional: PBE-GGA
Structure: relaxed

- DOS at the Fermi energy (states/eV/atom) = 0.482
- formation energy (no corrections) (eV/atom) = -1.772
- spin magnetization (Bohr magnetons per cell) = 0.0

Cell lengths 8.205, 8.205, 8.205 Å; angles 58.59, 58.59, 58.59 degrees
Element x y z (fractional)
1 Pr 0.000 0.500 0.500
2 Pr 0.500 0.000 0.500
3 Pr 0.500 0.500 0.000
4 Dy 0.500 0.500 0.500
5 Sc 0.000 0.000 0.500
6 Sc 0.000 0.500 0.000
7 Sc 0.500 0.000 0.000
8 Se 0.227 0.752 0.752
9 Se 0.240 0.240 0.240
10 Se 0.248 0.248 0.773
11 Se 0.248 0.773 0.248
12 Se 0.752 0.227 0.752
13 Se 0.752 0.753 0.227
14 Se 0.760 0.760 0.760
15 Se 0.773 0.248 0.248

# 10
Compound: CaBeF3
Source: the Alexandria database
Functional: PBE-GGA
Structure: relaxed

- DOS at the Fermi energy (states/eV/atom) = 0.485
- formation energy (no corrections) (eV/atom) = -2.473
- spin magnetization (Bohr magnetons per cell) = 0.0

Cell lengths 3.854, 3.854, 3.854 Å; angles 90.00, 90.00, 90.00 degrees
Element x y z (fractional)
1 Ca 0.000 0.000 0.000
2 Be 0.500 0.500 0.500
3 F 0.000 0.500 0.500
4 F 0.500 0.000 0.500
5 F 0.500 0.500 0.000

# 11
Compound: Sm2Co3Os
Source: the Alexandria database
Functional: PBE-GGA
Structure: relaxed

- DOS at the Fermi energy (states/eV/atom) = 1.290
- spin magnetization (Bohr magnetons per cell) = 2.6
- DFT formation energy (eV per atom) = -0.1158

Cell lengths 5.125, 5.125, 5.125 Å; angles 62.00, 62.00, 62.00 degrees
Element x y z (fractional)
1 Sm 0.127 0.127 0.127
2 Sm 0.873 0.873 0.873
3 Co 0.000 0.500 0.500
4 Co 0.500 0.000 0.500
5 Co 0.500 0.500 0.000
6 Os 0.500 0.500 0.500

# 12
Compound: Y3WI
Source: the Alexandria database
Functional: PBE-GGA
Structure: relaxed

- DOS at the Fermi energy (states/eV/atom) = 1.550
- formation energy (no corrections) (eV/atom) = 0.426
- spin magnetization (Bohr magnetons per cell) = 0.0

Cell lengths 5.517, 5.517, 5.517 Å; angles 90.00, 90.00, 90.00 degrees
Element x y z (fractional)
1 Y 0.000 0.000 0.500
2 Y 0.000 0.500 0.000
3 Y 0.500 0.000 0.000
4 W 0.000 0.000 0.000
5 I 0.500 0.500 0.500